Below is Na2CaTl after structural relaxation, with properties calculated at the GGA-PBE level.

Output
N(E_F) (states/eV per atom): 0.77
Total energy (eV/atom): -1.852
M_tot (Bohr magnetons per cell): 0.00

The structure in POSCAR format:
```
Na2CaTl
1.0
4.7262 0.0000 0.0000
0.0000 4.7262 0.0000
0.0000 0.0000 5.7503
Na Ca Tl
2 1 1
direct
0.0000 0.5000 0.0000
0.5000 0.0000 0.0000
0.0000 0.0000 0.5000
0.5000 0.5000 0.5000
```

=====

Below is NdTmAg3 after structural relaxation, with properties calculated at the GGA-PBE level.

Output
N(E_F) (states/eV per atom): 0.88
Total energy (eV/atom): -3.822
M_tot (Bohr magnetons per cell): 0.00

The structure in POSCAR format:
```
NdTmAg3
1.0
1.7786 -13.9711 0.0000
1.7786 13.9711 0.0000
0.0000 0.0000 4.8050
Nd Tm Ag
2 2 6
direct
0.0759 0.9241 0.7500
0.9241 0.0759 0.2500
0.2102 0.7898 0.2500
0.7898 0.2102 0.7500
0.3194 0.6806 0.2500
0.3765 0.6235 0.7500
0.4756 0.5244 0.7500
0.5244 0.4756 0.2500
0.6235 0.3765 0.2500
0.6806 0.3194 0.7500
```

=====

Below is NaMn2Nb after structural relaxation, with properties calculated at the GGA-PBE level.

Output
N(E_F) (states/eV per atom): 1.09
Total energy (eV/atom): -6.751
M_tot (Bohr magnetons per cell): 5.24

The structure in POSCAR format:
```
NaMn2Nb
1.0
0.0000 3.2318 3.2318
3.2318 0.0000 3.2318
3.2318 3.2318 0.0000
Na Mn Nb
1 2 1
direct
0.0000 0.0000 0.0000
0.2500 0.2500 0.2500
0.7500 0.7500 0.7500
0.5000 0.5000 0.5000
```

=====

Below is TbEr4Sb5 after structural relaxation, with properties calculated at the GGA-PBE level.

Output
ΔE_f (raw) (eV per atom): -1.11
N(E_F) (states/eV per atom): 0.19
M_tot (Bohr magnetons per cell): 0.00

The structure in POSCAR format:
```
TbEr4Sb5
1.0
-2.1807 3.0831 10.9000
2.1807 -3.0831 10.9000
2.1807 3.0831 -10.9000
Tb Er Sb
1 4 5
direct
0.0000 0.0000 0.0000
0.2007 0.2007 0.0000
0.4000 0.4000 0.0000
0.6000 0.6000 0.0000
0.7993 0.7993 0.0000
0.1013 0.6013 0.5000
0.3003 0.8003 0.5000
0.5000 0.0000 0.5000
0.6997 0.1997 0.5000
0.8987 0.3987 0.5000
```

=====

Below is TcIr4Rh2 after structural relaxation, with properties calculated at the GGA-PBE level.

Output
N(E_F) (states/eV per atom): 1.01
Total energy (eV/atom): -8.547
M_tot (Bohr magnetons per cell): 0.00

The structure in POSCAR format:
```
TcIr4Rh2
1.0
1.3577 -10.2641 0.0000
1.3577 10.2641 0.0000
0.0000 0.0000 3.8615
Tc Ir Rh
1 4 2
direct
0.0000 0.0000 0.0000
0.1326 0.8674 0.0000
0.4345 0.5655 0.5000
0.5655 0.4345 0.5000
0.8674 0.1326 0.0000
0.3035 0.6965 0.5000
0.6965 0.3035 0.5000
```

=====

Below is SrMgAl2Zn2 after structural relaxation, with properties calculated at the GGA-PBE level.

Output
N(E_F) (states/eV per atom): 0.58
Total energy (eV/atom): -2.402
M_tot (Bohr magnetons per cell): 0.00

The structure in POSCAR format:
```
SrMgAl2Zn2
1.0
4.4821 0.0000 0.0000
-2.2410 3.8816 0.0000
0.0000 0.0000 7.4903
Sr Mg Al Zn
1 1 2 2
direct
0.0000 0.0000 0.0000
0.0000 0.0000 0.5000
0.3333 0.6667 0.7000
0.6667 0.3333 0.3000
0.3333 0.6667 0.3005
0.6667 0.3333 0.6995
```

=====

Below is SrSiMo after structural relaxation, with properties calculated at the GGA-PBE level.

Output
ΔE_f (raw) (eV per atom): 0.42
N(E_F) (states/eV per atom): 0.82
M_tot (Bohr magnetons per cell): 0.50

The structure in POSCAR format:
```
SrSiMo
1.0
3.6378 0.0000 0.0000
-1.8189 3.1504 0.0000
0.0000 0.0000 6.1318
Sr Si Mo
1 1 1
direct
0.0000 0.0000 0.0000
0.3333 0.6667 0.6192
0.6667 0.3333 0.4168
```

=====

Below is BaSr2PbBr8 after structural relaxation, with properties calculated at the GGA-PBE level.

Output
ΔE_f (raw) (eV per atom): -1.82
N(E_F) (states/eV per atom): 0.00
M_tot (Bohr magnetons per cell): 0.00

The structure in POSCAR format:
```
BaSr2PbBr8
1.0
7.0725 0.0000 0.0000
0.0000 9.4972 0.0000
-0.0028 0.0000 7.2855
Ba Sr Pb Br
1 2 1 8
direct
0.0000 0.0000 0.0000
0.5000 0.2552 0.5000
0.5000 0.7448 0.5000
0.0000 0.5000 0.0000
0.2412 0.2625 0.8407
0.2412 0.7375 0.8407
0.2643 0.5000 0.3393
0.2729 0.0000 0.3564
0.7271 0.0000 0.6436
0.7357 0.5000 0.6607
0.7588 0.2625 0.1593
0.7588 0.7375 0.1593
```

=====

Below is CaAl2SiPt after structural relaxation, with properties calculated at the GGA-PBE level.

Output
ΔE_f (raw) (eV per atom): 1.64
N(E_F) (states/eV per atom): 0.77
M_tot (Bohr magnetons per cell): 0.00

The structure in POSCAR format:
```
CaAl2SiPt
1.0
5.2551 0.0000 0.0000
0.0000 5.2551 0.0000
0.0000 0.0000 5.0609
Ca Al Si Pt
1 2 1 1
direct
0.0000 0.0000 0.0000
0.0000 0.5000 0.0000
0.5000 0.0000 0.0000
0.0000 0.0000 0.5000
0.5000 0.5000 0.5000
```

=====

Below is BaAcPdAu after structural relaxation, with properties calculated at the GGA-PBE level.

Output
N(E_F) (states/eV per atom): 0.68
Total energy (eV/atom): -4.328
M_tot (Bohr magnetons per cell): 0.00

The structure in POSCAR format:
```
BaAcPdAu
1.0
4.8369 0.0000 0.0000
0.0000 2.1427 6.0082
0.0000 -2.1427 6.0082
Ba Ac Pd Au
1 1 1 1
direct
0.0000 0.0000 0.0000
0.5000 0.7294 0.7294
0.0000 0.2717 0.2717
0.5000 0.4363 0.4363
```

=====

Below is ScBe4Ni2 after structural relaxation, with properties calculated at the GGA-PBE level.

Output
N(E_F) (states/eV per atom): 0.23
Total energy (eV/atom): -5.010
M_tot (Bohr magnetons per cell): 0.00

The structure in POSCAR format:
```
ScBe4Ni2
1.0
-2.3427 2.7977 2.8027
2.3427 -2.7977 2.8027
2.3427 2.7977 -2.8027
Sc Be Ni
1 4 2
direct
0.0000 0.0000 0.0000
0.0003 0.3141 0.6862
0.9997 0.6859 0.3138
0.3721 0.6859 0.6862
0.6279 0.3141 0.3138
0.5000 0.2498 0.7498
0.5000 0.7502 0.2502
```

=====

Below is Na3Y2ZrSe6 after structural relaxation, with properties calculated at the GGA-PBE level.

Output
ΔE_f (raw) (eV per atom): -1.55
N(E_F) (states/eV per atom): 0.37
M_tot (Bohr magnetons per cell): 0.00

The structure in POSCAR format:
```
Na3Y2ZrSe6
1.0
3.5022 -6.0669 0.0000
3.5022 6.0669 0.0000
-2.3425 0.0000 7.0642
Na Y Zr Se
3 2 1 6
direct
0.0000 0.0000 0.0000
0.3307 0.6693 0.0000
0.6693 0.3307 0.0000
0.1664 0.8336 0.5000
0.8336 0.1664 0.5000
0.5000 0.5000 0.5000
0.1020 0.4234 0.2705
0.2556 0.2556 0.7292
0.4234 0.1020 0.2705
0.5766 0.8980 0.7295
0.7444 0.7444 0.2708
0.8980 0.5766 0.7295
```